Record 1
Below is an optimized crystal structure of LaDy2Er3Te6, with properties calculated at the GGA-PBE level.

Unit cell a=4.3462 b=8.8148 c=9.7999 alpha=103.49 beta=102.81 gamma=90.00
Sites, in units of the cell vectors:
1 La 0.5000 0.0000 0.0000
2 Er 0.1616 0.8317 0.3232
3 Er 0.8384 0.1683 0.6768
4 Er 0.5000 0.5000 0.0000
5 Te 0.6738 0.0843 0.3476
6 Te 0.3331 0.4150 0.6661
7 Te 0.0011 0.2641 0.0022
8 Te 0.9989 0.7359 0.9978
9 Te 0.6669 0.5850 0.3339
10 Te 0.3262 0.9157 0.6524
11 Dy 0.8349 0.6697 0.6697
12 Dy 0.1651 0.3303 0.3303

* size of the total moment: 0.00 μB/cell
* raw total energy: -5.1857 eV per atom
* density: 8.09 g/cm³
* space-group type: No. 12
* formation energy (no corrections): -1296 meV/atom



Record 2
Below is an optimized crystal structure of LaDy3Er2Te6, with properties calculated at the GGA-PBE level.

Unit cell a=4.3557 b=8.8168 c=9.7846 alpha=102.62 beta=102.86 gamma=90.00
Sites, in units of the cell vectors:
1 Dy 0.1601 0.8321 0.3202
2 Dy 0.8399 0.1679 0.6798
3 Dy 0.5000 0.5000 0.0000
4 Te 0.3314 0.4183 0.6627
5 Te 0.3262 0.9112 0.6524
6 Te 0.9970 0.7369 0.9939
7 Te 0.0030 0.2631 0.0061
8 Te 0.6686 0.5817 0.3373
9 Te 0.6738 0.0888 0.3476
10 Er 0.1646 0.3297 0.3293
11 Er 0.8354 0.6703 0.6707
12 La 0.5000 0.0000 0.0000

* size of the total moment: 0.00 μB/cell
* raw total energy: -5.1987 eV per atom
* density: 8.03 g/cm³
* space-group type: No. 12
* formation energy (no corrections): -1306 meV/atom



Record 3
Below is an optimized crystal structure of La3Dy3ErTe8, with properties calculated at the GGA-PBE level.

Unit cell a=8.8395 b=8.8404 c=8.9492 alpha=119.60 beta=90.00 gamma=120.00
Sites, in units of the cell vectors:
1 La 0.5000 0.5000 0.0000
2 La 0.0000 0.0000 0.0000
3 La 0.0000 0.5000 0.0000
4 Te 0.2553 0.5107 0.2660
5 Te 0.2487 0.9891 0.7378
6 Te 0.7447 0.4893 0.7340
7 Te 0.2487 0.4974 0.7378
8 Te 0.7513 0.0109 0.2622
9 Te 0.7513 0.5026 0.2622
10 Te 0.2595 0.0109 0.2622
11 Te 0.7405 0.9891 0.7378
12 Dy 0.5000 0.5000 0.5000
13 Dy 0.5000 0.0000 0.5000
14 Dy 0.0000 0.5000 0.5000
15 Er 0.0000 0.0000 0.5000

* size of the total moment: 0.00 μB/cell
* raw total energy: -5.3513 eV per atom
* density: 6.98 g/cm³
* space-group type: No. 166
* formation energy (no corrections): -1466 meV/atom



Record 4
Below is an optimized crystal structure of LaDy2ErTe6, with properties calculated at the GGA-PBE level.

Unit cell a=7.8036 b=7.8037 c=8.3618 alpha=62.18 beta=62.18 gamma=60.00
Sites, in units of the cell vectors:
1 La 0.8171 0.8172 0.5485
2 Te 0.1248 0.3940 0.7511
3 Te 0.6019 0.2354 0.2460
4 Te 0.7301 0.1247 0.7511
5 Te 0.3940 0.7301 0.7511
6 Te 0.9168 0.6019 0.2460
7 Te 0.2353 0.9168 0.2460
8 Er 0.3224 0.3224 0.0328
9 Dy 0.0079 0.0079 0.9763
10 Dy 0.5112 0.5112 0.4664

* size of the total moment: 0.00 μB/cell
* raw total energy: -5.1456 eV per atom
* density: 6.24 g/cm³
* space-group type: No. 146
* formation energy (no corrections): -1391 meV/atom



Record 5
Below is an optimized crystal structure of La4Dy3ErTe8, with properties calculated at the GGA-PBE level.

Unit cell a=8.8547 b=8.9984 c=8.8547 alpha=119.47 beta=120.00 gamma=90.00
Sites, in units of the cell vectors:
1 Te 0.7443 0.7328 0.4885
2 Te 0.2545 0.2683 0.0114
3 Te 0.2557 0.2672 0.5115
4 Te 0.7455 0.7317 0.9886
5 Te 0.7569 0.2683 0.5137
6 Te 0.2431 0.7317 0.4863
7 Te 0.2431 0.7317 0.9886
8 Te 0.7569 0.2683 0.0114
9 La 0.5000 0.0000 0.5000
10 La 0.0000 0.0000 0.5000
11 La 0.0000 0.0000 0.0000
12 La 0.5000 0.0000 0.0000
13 Dy 0.5000 0.5000 0.5000
14 Dy 0.0000 0.5000 0.5000
15 Dy 0.5000 0.5000 0.0000
16 Er 0.0000 0.5000 0.0000

* size of the total moment: 0.00 μB/cell
* raw total energy: -5.3839 eV per atom
* density: 7.37 g/cm³
* space-group type: No. 166
* formation energy (no corrections): -1433 meV/atom



Record 6
Below is an optimized crystal structure of La3Dy2ErTe6, with properties calculated at the GGA-PBE level.

Unit cell a=4.4199 b=9.0134 c=10.0213 alpha=104.35 beta=102.74 gamma=90.00
Sites, in units of the cell vectors:
1 Te 0.3383 0.9078 0.6767
2 Te 0.6617 0.0922 0.3233
3 Te 0.6701 0.5737 0.3403
4 Te 0.3299 0.4263 0.6597
5 Te 0.9965 0.7618 0.9929
6 Te 0.0035 0.2382 0.0071
7 La 0.8323 0.1665 0.6647
8 La 0.1677 0.8335 0.3353
9 La 0.5000 0.5000 0.0000
10 Dy 0.1673 0.3343 0.3346
11 Dy 0.8327 0.6657 0.6654
12 Er 0.5000 0.0000 0.0000

* size of the total moment: 0.00 μB/cell
* raw total energy: -5.3835 eV per atom
* density: 7.38 g/cm³
* space-group type: No. 12
* formation energy (no corrections): -1434 meV/atom



Record 7
Below is an optimized crystal structure of La2DyErTe6, with properties calculated at the GGA-PBE level.

Unit cell a=7.9363 b=7.9361 c=8.3820 alpha=61.75 beta=61.75 gamma=60.00
Sites, in units of the cell vectors:
1 Te 0.4430 0.7046 0.7582
2 Te 0.0941 0.4432 0.7582
3 Te 0.2024 0.9416 0.2603
4 Te 0.7047 0.0941 0.7581
5 Te 0.5956 0.2025 0.2602
6 Te 0.9418 0.5956 0.2603
7 Dy 0.3224 0.3222 0.0329
8 La 0.5177 0.5177 0.4469
9 La 0.0176 0.0176 0.9473
10 Er 0.8223 0.8225 0.5327

* size of the total moment: 0.00 μB/cell
* raw total energy: -5.2208 eV per atom
* density: 5.96 g/cm³
* space-group type: No. 146
* formation energy (no corrections): -1434 meV/atom



Record 8
Below is an optimized crystal structure of LaDy2Er4Th, with properties calculated at the GGA-PBE level.

Unit cell a=5.0819 b=5.0657 c=11.1412 alpha=62.99 beta=90.00 gamma=90.00
Sites, in units of the cell vectors:
1 La 0.5000 0.5000 0.0000
2 Dy 0.5000 0.0000 0.5000
3 Dy 0.0000 0.0000 0.0000
4 Er 0.0000 0.2441 0.2559
5 Er 0.5000 0.7435 0.2563
6 Er 0.0000 0.7559 0.7441
7 Er 0.5000 0.2565 0.7437
8 Th 0.0000 0.5000 0.5000

* size of the total moment: 0.00 μB/cell
* raw total energy: -4.9377 eV per atom
* formation enthalpy at 0 K: 0.038 eV per atom
* density: 8.87 g/cm³
* space-group type: No. 47



Record 9
Below is an optimized crystal structure of La2DyEr4Th, with properties calculated at the GGA-PBE level.

Unit cell a=7.1761 b=12.2528 c=12.2509 alpha=145.94 beta=107.01 gamma=90.01
Sites, in units of the cell vectors:
1 Er 0.2459 0.2542 0.4970
2 Er 0.7558 0.2562 0.5048
3 Er 0.7542 0.7458 0.9980
4 Er 0.2460 0.2541 0.0019
5 Er 0.7541 0.7459 0.5031
6 Er 0.7563 0.2559 0.0073
7 Er 0.2441 0.7437 0.4950
8 Er 0.2438 0.7442 0.9928
9 Dy 0.4999 0.4999 0.4999
10 Dy 0.0001 0.0001 0.0001
11 Th 0.0000 0.5000 0.5000
12 Th 0.0000 0.5000 0.0000
13 La 0.9999 0.0001 0.5001
14 La 0.5001 0.9998 0.9999
15 La 0.5001 0.5001 0.0002
16 La 0.4997 0.0002 0.5001

* size of the total moment: 0.00 μB/cell
* raw total energy: -4.9914 eV per atom
* formation enthalpy at 0 K: 0.025 eV per atom
* density: 8.66 g/cm³
* space-group type: No. 12



Record 10
Below is an optimized crystal structure of LaDyEr3Th, with properties calculated at the GGA-PBE level.

Unit cell a=5.0579 b=7.9744 c=10.6599 alpha=115.98 beta=90.00 gamma=90.00
Sites, in units of the cell vectors:
1 Dy 0.7500 0.8697 0.3709
2 Dy 0.2500 0.1303 0.6291
3 Er 0.7500 0.3754 0.5449
4 Er 0.2500 0.6171 0.7939
5 Er 0.7500 0.3829 0.2061
6 Er 0.2500 0.6246 0.4551
7 Er 0.2500 0.1335 0.9582
8 Er 0.7500 0.8665 0.0418
9 Th 0.7500 0.3804 0.8786
10 Th 0.2500 0.6196 0.1214
11 La 0.2500 0.1232 0.2921
12 La 0.7500 0.8768 0.7079

* size of the total moment: 0.00 μB/cell
* raw total energy: -5.0698 eV per atom
* formation enthalpy at 0 K: 0.037 eV per atom
* density: 8.90 g/cm³
* space-group type: No. 11



Record 11
Below is an optimized crystal structure of La2Dy5ErTh, with properties calculated at the GGA-PBE level.

Unit cell a=5.6312 b=10.2712 c=10.9311 alpha=90.00 beta=90.00 gamma=105.91
Sites, in units of the cell vectors:
1 Dy 0.4814 0.9628 0.7377
2 Dy 0.2808 0.5615 0.3119
3 Dy 0.7013 0.4026 0.2080
4 Dy 0.7192 0.4385 0.8119
5 Dy 0.0147 0.0293 0.0262
6 Dy 0.6104 0.2209 0.5201
7 Dy 0.5186 0.0372 0.2377
8 Dy 0.3896 0.7791 0.0201
9 Dy 0.2987 0.5974 0.7080
10 Dy 0.9853 0.9707 0.5262
11 Th 0.5833 0.1665 0.9615
12 Th 0.4167 0.8335 0.4615
13 Er 0.2013 0.4027 0.0085
14 Er 0.7987 0.5973 0.5085
15 La 0.8845 0.7689 0.2344
16 La 0.8840 0.7680 0.8156
17 La 0.1160 0.2320 0.3156
18 La 0.1155 0.2311 0.7344

* size of the total moment: 0.00 μB/cell
* raw total energy: -4.8192 eV per atom
* formation enthalpy at 0 K: 0.164 eV per atom
* density: 8.14 g/cm³
* space-group type: No. 36



Record 12
Below is an optimized crystal structure of LaDyEr5Th2, with properties calculated at the GGA-PBE level.

Unit cell a=8.9132 b=8.9132 c=9.8160 alpha=117.00 beta=117.00 gamma=90.00
Sites, in units of the cell vectors:
1 Dy 0.7500 0.2500 0.5000
2 Dy 0.2500 0.7500 0.5000
3 Th 0.3816 0.8816 0.0000
4 Th 0.8816 0.6184 0.0000
5 Th 0.6184 0.1184 0.0000
6 Th 0.1184 0.3816 0.0000
7 La 0.7500 0.7500 0.5000
8 La 0.2500 0.2500 0.5000
9 Er 0.0000 0.0000 0.0000
10 Er 0.6578 0.1578 0.7282
11 Er 0.0704 0.5704 0.7282
12 Er 0.1578 0.0704 0.7282
13 Er 0.8422 0.9296 0.2718
14 Er 0.5704 0.6578 0.7282
15 Er 0.3422 0.8422 0.2718
16 Er 0.4296 0.3422 0.2718
17 Er 0.9296 0.4296 0.2718
18 Er 0.5000 0.5000 0.0000

* size of the total moment: 0.00 μB/cell
* raw total energy: -4.9124 eV per atom
* formation enthalpy at 0 K: 0.330 eV per atom
* density: 8.90 g/cm³
* space-group type: No. 140